Record 1
A plane-wave DFT calculation with PBE-GGA was carried out for a geometry-optimized Tl6Hg2Sb structure.

Cell lengths 10.0534, 10.3617, 10.8440 Å; angles 90.00, 90.00, 90.00 degrees
Space group Immm (No. 71)
Unique sites:
Tl 0.0000 0.2293 0.1713 (multiplicity 8)
Tl 0.1916 0.2227 0.5000 (multiplicity 8)
Tl 0.1926 0.5000 0.2472 (multiplicity 8)
Hg 0.0000 0.0000 0.3599 (multiplicity 4)
Hg 0.1508 0.0000 0.0000 (multiplicity 4)
Sb 0.0000 0.5000 0.0000 (multiplicity 2)
Sb 0.0000 0.5000 0.5000 (multiplicity 2)

Distance to the lowest polymorph of the same formula: 42 meV/atom
Raw formation energy: 24 meV per atom
Total magnetization: 0.00 μB/cell
Energy: -74.82 eV/cell

Record 2
A plane-wave DFT calculation with PBE-GGA was carried out for a geometry-optimized Tl19Hg6Sb4 structure.

Cell lengths 12.3319, 12.3319, 12.3319 Å; angles 90.00, 90.00, 90.00 degrees
Space group I23 (No. 197)
Unique sites:
Tl 0.0000 0.0000 0.0000 (multiplicity 2)
Tl 0.0000 0.0000 0.3069 (multiplicity 12)
Tl 0.0748 0.2700 0.2710 (multiplicity 24)
Hg 0.0000 0.3251 0.5000 (multiplicity 12)
Sb 0.1484 0.1484 0.8516 (multiplicity 8)

Raw formation energy: 28 meV per atom
Total magnetization: 0.00 μB/cell
Energy: -124.90 eV/cell

Record 3
A plane-wave DFT calculation with PBE-GGA was carried out for a geometry-optimized Tl4Hg3Sb2 structure.

Cell lengths 9.9508, 12.5275, 8.9235 Å; angles 90.00, 95.76, 90.00 degrees
Space group C2/c (No. 15)
Unique sites:
Tl 0.0446 0.1692 0.0694 (multiplicity 8)
Tl 0.1720 0.3390 0.6321 (multiplicity 8)
Hg 0.0000 0.4182 0.2500 (multiplicity 4)
Hg 0.1485 0.0731 0.7079 (multiplicity 8)
Sb 0.1619 0.4169 0.9883 (multiplicity 8)

Raw formation energy: 40 meV per atom
Total magnetization: 0.00 μB/cell
Energy: -73.03 eV/cell

Record 4
A plane-wave DFT calculation with PBE-GGA was carried out for a geometry-optimized Tl9Hg2Sb structure.

Cell lengths 5.4184, 5.4184, 12.4520 Å; angles 90.00, 90.00, 90.00 degrees
Space group P4/mmm (No. 123)
Unique sites:
Tl 0.0000 0.0000 0.0000 (multiplicity 1)
Tl 0.0000 0.0000 0.3386 (multiplicity 2)
Tl 0.0000 0.5000 0.1680 (multiplicity 4)
Tl 0.0000 0.5000 0.5000 (multiplicity 2)
Hg 0.5000 0.5000 0.3337 (multiplicity 2)
Sb 0.5000 0.5000 0.0000 (multiplicity 1)

Raw formation energy: 8 meV per atom
Total magnetization: 0.00 μB/cell
Energy: -25.92 eV/cell

Record 5
A plane-wave DFT calculation with PBE-GGA was carried out for a geometry-optimized Tl2Hg3Sb structure.

Cell lengths 12.0842, 4.8899, 8.0014 Å; angles 90.00, 130.67, 90.00 degrees
Space group Cm (No. 8)
Unique sites:
Tl 0.0000 0.0000 0.0000 (multiplicity 2)
Tl 0.1171 0.0000 0.6173 (multiplicity 2)
Hg 0.2179 0.5000 0.4170 (multiplicity 2)
Hg 0.4035 0.0000 0.2185 (multiplicity 2)
Hg 0.4067 0.0000 0.6158 (multiplicity 2)
Sb 0.2234 0.5000 0.0338 (multiplicity 2)

Distance to the lowest polymorph of the same formula: 0 meV/atom
Raw formation energy: 0 meV per atom
Total magnetization: 0.00 μB/cell
Energy: -19.52 eV/cell

Record 6
A plane-wave DFT calculation with PBE-GGA was carried out for a geometry-optimized Tl6Hg3Sb structure.

Cell lengths 11.2755, 4.4494, 13.5696 Å; angles 90.00, 111.48, 90.00 degrees
Space group P2_1/m (No. 11)
Unique sites:
Tl 0.0723 0.2500 0.2409 (multiplicity 2)
Tl 0.1776 0.7500 0.6793 (multiplicity 2)
Tl 0.2697 0.7500 0.1063 (multiplicity 2)
Tl 0.2814 0.2500 0.8835 (multiplicity 2)
Tl 0.3352 0.7500 0.4666 (multiplicity 2)
Tl 0.4227 0.2500 0.6866 (multiplicity 2)
Hg 0.0342 0.2500 0.9354 (multiplicity 2)
Hg 0.1147 0.2500 0.4916 (multiplicity 2)
Hg 0.4941 0.7500 0.8920 (multiplicity 2)
Sb 0.3717 0.2500 0.3089 (multiplicity 2)

Distance to the lowest polymorph of the same formula: 19 meV/atom
Raw formation energy: 13 meV per atom
Total magnetization: 0.00 μB/cell
Energy: -38.19 eV/cell

Record 7
A plane-wave DFT calculation with PBE-GGA was carried out for a geometry-optimized Tl8HgSb3 structure.

Cell lengths 7.5193, 7.5193, 15.1076 Å; angles 90.00, 90.00, 90.00 degrees
Space group I4/mmm (No. 139)
Unique sites:
Tl 0.2474 0.2474 0.1234 (multiplicity 16)
Hg 0.0000 0.0000 0.0000 (multiplicity 2)
Sb 0.0000 0.0000 0.5000 (multiplicity 2)
Sb 0.0000 0.5000 0.2500 (multiplicity 4)

Raw formation energy: 14 meV per atom
Total magnetization: 0.00 μB/cell
Energy: -62.86 eV/cell

Record 8
A plane-wave DFT calculation with PBE-GGA was carried out for a geometry-optimized Tl5HgSb2 structure.

Cell lengths 7.0686, 14.1782, 4.7908 Å; angles 90.00, 90.00, 90.00 degrees
Space group Pbam (No. 55)
Unique sites:
Tl 0.0000 0.0000 0.0000 (multiplicity 2)
Tl 0.0100 0.2494 0.0000 (multiplicity 4)
Tl 0.2334 0.6202 0.5000 (multiplicity 4)
Hg 0.0000 0.5000 0.0000 (multiplicity 2)
Sb 0.2495 0.3771 0.5000 (multiplicity 4)

Distance to the lowest polymorph of the same formula: 32 meV/atom
Raw formation energy: 32 meV per atom
Total magnetization: 0.00 μB/cell
Energy: -40.24 eV/cell

Record 9
A plane-wave DFT calculation with PBE-GGA was carried out for a geometry-optimized Tl5HgSb2 structure.

Cell lengths 8.6472, 8.6472, 13.8045 Å; angles 90.00, 90.00, 90.00 degrees
Space group I4/mcm (No. 140)
Unique sites:
Tl 0.0000 0.0000 0.0000 (multiplicity 4)
Tl 0.1586 0.3414 0.1545 (multiplicity 16)
Hg 0.0000 0.0000 0.2500 (multiplicity 4)
Sb 0.1269 0.3731 0.5000 (multiplicity 8)

Distance to the lowest polymorph of the same formula: 0 meV/atom
Raw formation energy: 0 meV per atom
Total magnetization: 0.00 μB/cell
Energy: -81.52 eV/cell

Record 10
A plane-wave DFT calculation with PBE-GGA was carried out for a geometry-optimized Tl8Hg2Sb structure.

Cell lengths 5.3182, 8.2774, 15.5776 Å; angles 90.00, 90.00, 90.00 degrees
Space group Immm (No. 71)
Unique sites:
Tl 0.0000 0.0000 0.1476 (multiplicity 4)
Tl 0.0000 0.2187 0.3507 (multiplicity 8)
Tl 0.0000 0.3016 0.0000 (multiplicity 4)
Hg 0.0000 0.5000 0.2000 (multiplicity 4)
Sb 0.0000 0.5000 0.5000 (multiplicity 2)

Distance to the lowest polymorph of the same formula: 0 meV/atom
Raw formation energy: 8 meV per atom
Total magnetization: 0.00 μB/cell
Energy: -47.14 eV/cell

Record 11
A plane-wave DFT calculation with PBE-GGA was carried out for a geometry-optimized Tl5Hg2Sb4 structure.

Cell lengths 25.2434, 4.0685, 6.9509 Å; angles 90.00, 91.77, 90.00 degrees
Space group C2/m (No. 12)
Unique sites:
Tl 0.0000 0.0000 0.0000 (multiplicity 2)
Tl 0.0982 0.5000 0.1853 (multiplicity 4)
Tl 0.1970 0.5000 0.8574 (multiplicity 4)
Hg 0.2195 0.5000 0.3546 (multiplicity 4)
Sb 0.0430 0.5000 0.6544 (multiplicity 4)
Sb 0.1233 0.0000 0.5593 (multiplicity 4)

Raw formation energy: 48 meV per atom
Total magnetization: 0.00 μB/cell
Energy: -56.80 eV/cell

Record 12
A plane-wave DFT calculation with PBE-GGA was carried out for a geometry-optimized Tl7Hg3Sb structure.

Cell lengths 6.9334, 6.9334, 8.3468 Å; angles 90.00, 90.00, 120.00 degrees
Space group P3m1 (No. 156)
Unique sites:
Tl 0.0000 0.0000 0.0000 (multiplicity 1)
Tl 0.0059 0.5030 0.9837 (multiplicity 3)
Tl 0.1713 0.3426 0.3615 (multiplicity 3)
Hg 0.3460 0.1730 0.6632 (multiplicity 3)
Sb 0.6667 0.3333 0.2858 (multiplicity 1)

Raw formation energy: 33 meV per atom
Total magnetization: 0.00 μB/cell
Energy: -21.23 eV/cell

Record 13
A plane-wave DFT calculation with PBE-GGA was carried out for a geometry-optimized TlHg2Sb structure.

Cell lengths 6.6678, 5.1898, 6.8681 Å; angles 90.00, 100.51, 90.00 degrees
Space group P2_1/m (No. 11)
Unique sites:
Tl 0.1800 0.2500 0.1393 (multiplicity 2)
Hg 0.3274 0.7500 0.8653 (multiplicity 2)
Hg 0.4801 0.7500 0.3682 (multiplicity 2)
Sb 0.0321 0.2500 0.6185 (multiplicity 2)

Raw formation energy: 34 meV per atom
Total magnetization: 0.00 μB/cell
Energy: -13.92 eV/cell

Record 14
A plane-wave DFT calculation with PBE-GGA was carried out for a geometry-optimized Tl4Hg3Sb structure.

Cell lengths 10.7713, 6.6596, 6.6596 Å; angles 90.00, 90.00, 90.00 degrees
Space group Pmn2_1 (No. 31)
Unique sites:
Tl 0.0000 0.0593 0.0000 (multiplicity 2)
Tl 0.0000 0.3948 0.4644 (multiplicity 2)
Tl 0.2424 0.8134 0.2274 (multiplicity 4)
Hg 0.0000 0.5506 0.9820 (multiplicity 2)
Hg 0.2347 0.6838 0.7274 (multiplicity 4)
Sb 0.0000 0.8972 0.5136 (multiplicity 2)

Distance to the lowest polymorph of the same formula: 3 meV/atom
Raw formation energy: 10 meV per atom
Total magnetization: 0.00 μB/cell
Energy: -28.82 eV/cell

Record 15
A plane-wave DFT calculation with PBE-GGA was carried out for a geometry-optimized TlHg2Sb structure.

Cell lengths 4.4768, 4.4768, 11.1074 Å; angles 90.00, 90.00, 90.00 degrees
Space group I-4m2 (No. 119)
Unique sites:
Tl 0.0000 0.0000 0.0000 (multiplicity 2)
Hg 0.0000 0.0000 0.5000 (multiplicity 2)
Hg 0.0000 0.5000 0.7500 (multiplicity 2)
Sb 0.0000 0.5000 0.2500 (multiplicity 2)

Raw formation energy: 95 meV per atom
Total magnetization: 0.00 μB/cell
Energy: -13.43 eV/cell

Record 16
A plane-wave DFT calculation with PBE-GGA was carried out for a geometry-optimized TlHg2Sb2 structure.

Cell lengths 5.4997, 5.4997, 10.4157 Å; angles 90.00, 90.00, 90.00 degrees
Space group I4/mmm (No. 139)
Unique sites:
Tl 0.0000 0.0000 0.0000 (multiplicity 2)
Hg 0.0000 0.5000 0.2500 (multiplicity 4)
Sb 0.0000 0.0000 0.3634 (multiplicity 4)

Distance to the lowest polymorph of the same formula: 0 meV/atom
Raw formation energy: 89 meV per atom
Total magnetization: 0.00 μB/cell
Energy: -21.54 eV/cell

Record 17
A plane-wave DFT calculation with PBE-GGA was carried out for a geometry-optimized Tl3Hg4Sb structure.

Cell lengths 11.4541, 6.6306, 6.3060 Å; angles 90.00, 98.84, 90.00 degrees
Space group C2 (No. 5)
Unique sites:
Tl 0.0000 0.0000 0.0000 (multiplicity 2)
Tl 0.1709 0.7877 0.6192 (multiplicity 4)
Hg 0.0794 0.5219 0.2093 (multiplicity 4)
Hg 0.2204 0.3340 0.8554 (multiplicity 4)
Sb 0.0000 0.1993 0.5000 (multiplicity 2)

Distance to the lowest polymorph of the same formula: 0 meV/atom
Raw formation energy: 20 meV per atom
Total magnetization: 0.00 μB/cell
Energy: -24.54 eV/cell

Record 18
A plane-wave DFT calculation with PBE-GGA was carried out for a geometry-optimized Tl15Hg4Sb structure.

Cell lengths 4.9271, 4.9271, 24.5784 Å; angles 90.00, 90.00, 90.00 degrees
Space group P4/mmm (No. 123)
Unique sites:
Tl 0.0000 0.0000 0.0000 (multiplicity 1)
Tl 0.0000 0.0000 0.2006 (multiplicity 2)
Tl 0.0000 0.0000 0.3986 (multiplicity 2)
Tl 0.0000 0.5000 0.0989 (multiplicity 4)
Tl 0.0000 0.5000 0.3000 (multiplicity 4)
Tl 0.0000 0.5000 0.5000 (multiplicity 2)
Hg 0.5000 0.5000 0.2018 (multiplicity 2)
Hg 0.5000 0.5000 0.3987 (multiplicity 2)
Sb 0.5000 0.5000 0.0000 (multiplicity 1)

Raw formation energy: 12 meV per atom
Total magnetization: 0.00 μB/cell
Energy: -40.57 eV/cell

Record 19
A plane-wave DFT calculation with PBE-GGA was carried out for a geometry-optimized Tl6Hg5Sb2 structure.

Cell lengths 4.7810, 11.7095, 14.9986 Å; angles 89.95, 89.99, 89.73 degrees
Space group P-1 (No. 2)
Unique sites:
Tl 0.9995 0.1630 0.4238 (multiplicity 2)
Tl 0.0005 0.3369 0.9239 (multiplicity 2)
Tl 0.0025 0.3609 0.6242 (multiplicity 2)
Tl 0.0027 0.8607 0.8758 (multiplicity 2)
Tl 0.4988 0.3445 0.3198 (multiplicity 2)
Tl 0.4989 0.8446 0.1802 (multiplicity 2)
Hg 0.4982 0.0935 0.2626 (multiplicity 2)
Hg 0.4980 0.5935 0.2373 (multiplicity 2)
Hg 0.4991 0.3850 0.0551 (multiplicity 2)
Hg 0.4991 0.8853 0.4450 (multiplicity 2)
Hg 0.5000 0.0000 0.0000 (multiplicity 1)
Hg 0.5000 0.5000 0.5000 (multiplicity 1)
Sb 0.0013 0.0818 0.6804 (multiplicity 2)
Sb 0.0013 0.5818 0.8196 (multiplicity 2)

Raw formation energy: 12 meV per atom
Total magnetization: 0.00 μB/cell
Energy: -47.58 eV/cell